1.
# BaLiCa PBE relaxed
# density of states at the Fermi level = 13.52 states/eV per cell
# total magnetization = 0.00 μB per formula unit
# ΔE_f = 0.2007 eV/atom
data_BaLiCa
_chemical_formula_sum 'Ba4 Li4 Ca4'
_cell_length_a 8.277
_cell_length_b 8.277
_cell_length_c 8.277
_cell_angle_alpha 90.00
_cell_angle_beta 90.00
_cell_angle_gamma 90.00
_space_group_name_H-M_alt 'F -4 3 m'
_space_group_IT_number 216
_space_group_name_Hall 'F -4 2 3'
loop_
_atom_site_label
_atom_site_type_symbol
_atom_site_fract_x
_atom_site_fract_y
_atom_site_fract_z
Ba1 Ba 0.000 0.000 0.000
Li1 Li 0.250 0.250 0.250
Ca1 Ca 0.000 0.000 0.500

=====

2.
# KCr2Fe PBE relaxed
# density of states at the Fermi level = 7.81 states/eV per cell
# total magnetization = 10.98 μB per formula unit
# ΔE_f = 1.6140 eV/atom
data_KCr2Fe
_chemical_formula_sum 'K1 Cr2 Fe1'
_cell_length_a 5.159
_cell_length_b 5.159
_cell_length_c 2.933
_cell_angle_alpha 90.00
_cell_angle_beta 90.00
_cell_angle_gamma 90.00
_space_group_name_H-M_alt 'P 4/m m m'
_space_group_IT_number 123
_space_group_name_Hall '-P 4 2'
loop_
_atom_site_label
_atom_site_type_symbol
_atom_site_fract_x
_atom_site_fract_y
_atom_site_fract_z
K1 K 0.000 0.000 0.000
Cr1 Cr 0.000 0.500 0.500
Fe1 Fe 0.500 0.500 0.000

=====

3.
# PmU2Se4 PBE relaxed
# density of states at the Fermi level = 47.99 states/eV per cell
# total magnetization = 6.29 μB per formula unit
# energy relative to the elements, uncorrected = -124.8 kJ per mole of atoms
data_PmU2Se4
_chemical_formula_sum 'Pm4 U8 Se16'
_cell_length_a 3.958
_cell_length_b 13.511
_cell_length_c 14.032
_cell_angle_alpha 90.00
_cell_angle_beta 90.00
_cell_angle_gamma 90.00
_space_group_name_H-M_alt 'C m c m'
_space_group_IT_number 63
_space_group_name_Hall '-C 2c 2'
loop_
_atom_site_label
_atom_site_type_symbol
_atom_site_fract_x
_atom_site_fract_y
_atom_site_fract_z
Pm1 Pm 0.000 0.114 0.250
U1 U 0.000 0.362 0.064
Se1 Se 0.000 0.000 0.000
Se2 Se 0.000 0.280 0.627
Se3 Se 0.000 0.452 0.250

=====

4.
# GaSnP2 PBE relaxed
# density of states at the Fermi level = 11.23 states/eV per cell
# total magnetization = 0.00 μB per formula unit
# ΔE_f = 0.3824 eV/atom
data_GaSnP2
_chemical_formula_sum 'Ga4 Sn4 P8'
_cell_length_a 6.717
_cell_length_b 6.717
_cell_length_c 6.717
_cell_angle_alpha 90.00
_cell_angle_beta 90.00
_cell_angle_gamma 90.00
_space_group_name_H-M_alt 'F m -3 m'
_space_group_IT_number 225
_space_group_name_Hall '-F 4 2 3'
loop_
_atom_site_label
_atom_site_type_symbol
_atom_site_fract_x
_atom_site_fract_y
_atom_site_fract_z
Ga1 Ga 0.000 0.000 0.000
Sn1 Sn 0.000 0.000 0.500
P1 P 0.250 0.250 0.250